(1)
PBE Tl3Ga2Sn4, relaxed; space group = No. 12; energy of formation from the pure elements = 0.43 eV per formula unit; DOS at the Fermi energy = 3.2 states/eV per cell; total moment = 0.00 μB/f.u.
1.0
6.138 -2.319 0.000
6.138 2.319 0.000
-3.164 0.000 9.012
Tl Ga Sn
3 2 4
direct
0.000 0.000 0.000
0.290 0.290 0.383
0.710 0.710 0.617
0.406 0.406 0.722
0.594 0.594 0.278
0.016 0.016 0.663
0.260 0.260 0.901
0.740 0.740 0.099
0.984 0.984 0.337

---

(2)
PBE BaNbO3, relaxed; space group = No. 227; DOS at the Fermi energy = 11.4 states/eV per cell; total moment = 0.50 μB/f.u.; formation energy (no corrections) = -2.53 eV/atom
1.0
0.000 5.461 5.461
5.461 0.000 5.461
5.461 5.461 0.000
Ba Nb O
4 4 12
direct
0.000 0.000 0.000
0.000 0.000 0.500
0.000 0.500 0.000
0.500 0.000 0.000
0.000 0.500 0.500
0.500 0.000 0.500
0.500 0.500 0.000
0.500 0.500 0.500
0.185 0.185 0.565
0.185 0.565 0.185
0.185 0.565 0.565
0.435 0.435 0.815
0.435 0.815 0.435
0.435 0.815 0.815
0.565 0.185 0.185
0.565 0.185 0.565
0.565 0.565 0.185
0.815 0.435 0.435
0.815 0.435 0.815
0.815 0.815 0.435

---

(3)
PBE Li3ZnPd2O6, relaxed; space group = No. 12; DOS at the Fermi energy = 5.4 states/eV per cell; total moment = 0.30 μB/f.u.; formation energy (no corrections) = -1.15 eV/atom
1.0
2.663 -4.646 0.000
2.663 4.646 0.000
-1.745 0.000 4.851
Li Zn Pd O
3 1 2 6
direct
0.000 0.000 0.000
0.327 0.673 0.000
0.673 0.327 0.000
0.500 0.500 0.500
0.167 0.833 0.500
0.833 0.167 0.500
0.080 0.422 0.267
0.232 0.232 0.735
0.422 0.080 0.267
0.578 0.920 0.733
0.768 0.768 0.265
0.920 0.578 0.733

---

(4)
PBE Cd2PdAu6, relaxed; space group = No. 12; energy of formation from the pure elements = -1.11 eV per formula unit; DOS at the Fermi energy = 3.3 states/eV per cell; total moment = 0.00 μB/f.u.; excess energy over the best structure of this formula in the dataset = 27 meV per atom
1.0
3.305 -6.688 0.000
3.305 6.688 0.000
-1.202 0.000 3.836
Cd Pd Au
2 1 6
direct
0.158 0.842 0.000
0.842 0.158 0.000
0.000 0.000 0.500
0.176 0.491 0.663
0.329 0.329 0.160
0.491 0.176 0.663
0.509 0.824 0.337
0.671 0.671 0.840
0.824 0.509 0.337

---

(5)
PBE TiSb2Pt, relaxed; space group = No. 166; DOS at the Fermi energy = 4.3 states/eV per cell; total moment = 0.00 μB/f.u.; excess energy over the best structure of this formula in the dataset = 40 meV per atom; formation energy (no corrections) = -0.07 eV/atom
1.0
1.612 0.931 9.407
-1.612 0.931 9.407
0.000 -1.862 9.407
Ti Sb Pt
1 2 1
direct
0.000 0.000 0.000
0.409 0.409 0.409
0.591 0.591 0.591
0.500 0.500 0.500

---

(6)
PBE CaCoTeI2, relaxed; space group = No. 123; DOS at the Fermi energy = 5.5 states/eV per cell; total moment = 1.17 μB/f.u.; excess energy over the best structure of this formula in the dataset = 0 meV per atom; formation energy (no corrections) = -0.32 eV/atom
1.0
5.327 0.000 0.000
0.000 5.327 0.000
0.000 0.000 5.246
Ca Co Te I
1 1 1 2
direct
0.000 0.000 0.000
0.500 0.500 0.500
0.500 0.500 0.000
0.000 0.500 0.500
0.500 0.000 0.500

---

(7)
PBE Pm2TcBi, relaxed; space group = No. 123; energy of formation from the pure elements = -0.82 eV per formula unit; DOS at the Fermi energy = 4.6 states/eV per cell; total moment = 0.00 μB/f.u.; excess energy over the best structure of this formula in the dataset = 0 meV per atom
1.0
3.484 0.000 0.000
0.000 3.484 0.000
0.000 0.000 8.799
Pm Tc Bi
2 1 1
direct
0.000 0.000 0.199
0.000 0.000 0.801
0.500 0.500 0.000
0.500 0.500 0.500

---

(8)
PBE V2TeI2, relaxed; space group = No. 139; DOS at the Fermi energy = 2.8 states/eV per cell; total moment = 0.00 μB/f.u.; formation energy (no corrections) = 0.48 eV/atom
1.0
-2.478 2.478 5.034
2.478 -2.478 5.034
2.478 2.478 -5.034
V Te I
2 1 2
direct
0.096 0.096 0.000
0.904 0.904 0.000
0.500 0.500 0.000
0.250 0.750 0.500
0.750 0.250 0.500

---

What did the fifth record say?
PBE TiSb2Pt, relaxed; space group = No. 166; DOS at the Fermi energy = 4.3 states/eV per cell; total moment = 0.00 μB/f.u.; excess energy over the best structure of this formula in the dataset = 40 meV per atom; formation energy (no corrections) = -0.07 eV/atom
1.0
1.612 0.931 9.407
-1.612 0.931 9.407
0.000 -1.862 9.407
Ti Sb Pt
1 2 1
direct
0.000 0.000 0.000
0.409 0.409 0.409
0.591 0.591 0.591
0.500 0.500 0.500

---

> What is the total moment in the second record?

0.50 μB/f.u.

---

Please write out number 1 again, unchanged.
PBE Tl3Ga2Sn4, relaxed; space group = No. 12; energy of formation from the pure elements = 0.43 eV per formula unit; DOS at the Fermi energy = 3.2 states/eV per cell; total moment = 0.00 μB/f.u.
1.0
6.138 -2.319 0.000
6.138 2.319 0.000
-3.164 0.000 9.012
Tl Ga Sn
3 2 4
direct
0.000 0.000 0.000
0.290 0.290 0.383
0.710 0.710 0.617
0.406 0.406 0.722
0.594 0.594 0.278
0.016 0.016 0.663
0.260 0.260 0.901
0.740 0.740 0.099
0.984 0.984 0.337

---

> Which of these has the lowest DOS at the Fermi energy?

V2TeI2